## K2NaIn12Ag3 (PBE-GGA)

Data for a relaxed K2NaIn12Ag3 crystal.

Summary:
DFT formation energy = 77.1 meV per atom
DFT total energy = -2.419 eV/atom
SG = R-3m, No. 166

Cell: 7.9951 7.9951 7.9951 Å, 87.92 87.92 87.92°
Atoms (fractional coordinates):
K  0.3877  0.3877  0.3877
K  0.6123  0.6123  0.6123
In  0.8096  0.2944  0.8096
In  0.6282  0.0464  0.6282
In  0.1904  0.7056  0.1904
In  0.8096  0.8096  0.2944
In  0.0464  0.6282  0.6282
In  0.2944  0.8096  0.8096
In  0.1904  0.1904  0.7056
In  0.7056  0.1904  0.1904
In  0.3718  0.9536  0.3718
In  0.3718  0.3718  0.9536
In  0.6282  0.6282  0.0464
In  0.9536  0.3718  0.3718
Ag  0.0000  0.5000  0.0000
Ag  0.5000  0.0000  0.0000
Ag  0.0000  0.0000  0.5000
Na  0.0000  0.0000  0.0000